Here is KMoO3 after structural relaxation from Alexandria via LeMat-Bulk. Energies are from PBE with a Hubbard U.

calculated total energy	-62.888	eV/cell
space-group type	P2_1/m

The structure in CIF format:
```
data_KMoO3
_chemical_formula_sum 'K2 Mo2 O6'
_cell_length_a 3.447
_cell_length_b 5.353
_cell_length_c 7.536
_cell_angle_alpha 90.00
_cell_angle_beta 93.44
_cell_angle_gamma 90.00
_symmetry_space_group_name_H-M 'P 1'
_symmetry_Int_Tables_number 1
loop_
_symmetry_equiv_pos_as_xyz
'x,y,z'
loop_
_atom_site_label
_atom_site_fract_x
_atom_site_fract_y
_atom_site_fract_z
_atom_site_occupancy
K1 0.203 0.250 0.378 1
K2 0.797 0.750 0.622 1
Mo1 0.318 0.750 0.104 1
Mo2 0.682 0.250 0.896 1
O1 0.235 0.003 0.884 1
O2 0.235 0.497 0.884 1
O3 0.263 0.750 0.342 1
O4 0.737 0.250 0.658 1
O5 0.765 0.503 0.116 1
O6 0.765 0.997 0.116 1
```